(1)
Na3Mg2In8 | Alexandria | PBE | optimized geometry; total energy = -2.244 eV/atom
1.0
-3.2026 -0.5405 -3.7429
5.7057 -1.8767 -4.6110
-4.0018 -8.2288 4.6147
Na Mg In
3 2 8
direct
0.5000 0.0000 0.0000
0.0000 0.2918 0.0000
0.0000 0.7082 0.0000
0.5006 0.7664 0.5328
0.4994 0.2336 0.4672
0.9994 0.3216 0.6432
0.0006 0.6784 0.3568
0.0005 0.8614 0.7229
0.9995 0.1386 0.2771
0.5005 0.8302 0.2380
0.5005 0.4078 0.2380
0.4995 0.5922 0.7620
0.4995 0.1698 0.7620

---

(2)
SmTm | Alexandria | PBE | optimized geometry; total energy = -4.583 eV/atom
1.0
-0.0671 0.7949 -3.5494
5.6614 -2.5541 -0.6790
-5.1836 -4.1575 1.0312
Sm Tm
2 2
direct
0.3772 0.2079 0.7543
0.6228 0.7921 0.2457
0.8729 0.7065 0.7458
0.1271 0.2935 0.2542

---

(3)
Nd5AlGa4 | Alexandria | PBE | optimized geometry; total energy = -4.484 eV/atom
1.0
-0.8392 1.6016 -3.2311
-1.2583 -3.2390 -1.2787
-16.9012 4.0420 6.3931
Nd Al Ga
5 1 4
direct
0.5000 0.5000 0.1017
0.5000 0.5000 0.3007
0.5000 0.5000 0.5000
0.5000 0.5000 0.6993
0.5000 0.5000 0.8983
0.0000 0.0000 0.0000
0.0000 0.0000 0.2009
0.0000 0.0000 0.4003
0.0000 0.0000 0.5997
0.0000 0.0000 0.7991

---

(4)
AlCrC | Alexandria | PBE | optimized geometry; total energy = -7.122 eV/atom
1.0
4.3584 0.0000 0.0000
0.0000 3.0234 0.0000
-2.1792 -1.5117 5.2777
Al C Cr
2 2 2
direct
0.6350 0.1350 0.2701
0.3650 0.8650 0.7299
0.6715 0.5000 0.0000
0.3285 0.5000 0.0000
0.1290 0.6290 0.2579
0.8710 0.3710 0.7421

---

| no. | calculated formation energy (meV per atom) |
| --- | --- |
| 1 | -9 |
| 2 | 12 |
| 3 | -516 |
| 4 | 408 |